Record 1
Below is a relaxed structure of CsCoP2S, with properties calculated at the PBE level.

Output
Volume, Å³/cell: 108
Spin magnetization, μB per atom: 0.000
Theoretical density, g/cm³: 4.385
Space-group type: No. 123
E, eV per atom: -4.32
Formation energy (no corrections), meV/atom: 264

Unit cell a=4.4481 b=4.4481 c=5.4717 alpha=90.00 beta=90.00 gamma=90.00
Closest atoms and distances in Å follow each position.
Element x y z (fractional)
1 P 0.0000 0.5000 0.0000  2 Co 2.22
2 P 0.5000 0.0000 0.0000  2 Co 2.22
3 S 0.0000 0.0000 0.5000  2 Co 2.74
4 Co 0.0000 0.0000 0.0000  4 P 2.22
5 Cs 0.5000 0.5000 0.5000  4 S 3.15

---

Record 2
Below is a relaxed structure of LiAsIr, with properties calculated at the PBE level.

Output
Volume, Å³/cell: 138
Spin magnetization, μB per atom: 0.000
Theoretical density, g/cm³: 9.929
Space-group type: No. 189
E, eV per atom: -5.61

Unit cell a=3.8048 b=6.4601 c=6.4601 alpha=120.00 beta=90.00 gamma=90.00
Closest atoms and distances in Å follow each position.
Element x y z (fractional)
1 Li 0.5000 0.0000 0.5899  5 As 2.65-2.73, 2 Ir 2.88
2 Li 0.5000 0.4102 0.4101  5 As 2.65-2.73, 2 Ir 2.88
3 Li 0.5000 0.5898 0.0000  5 As 2.65-2.73, 2 Ir 2.88
4 As 0.5000 0.0000 0.0000  6 Ir 2.52, 3 Li 2.65
5 As 0.0000 0.3333 0.6667  3 Ir 2.45, 6 Li 2.73
6 As 0.0000 0.6667 0.3333  3 Ir 2.45, 6 Li 2.73
7 Ir 0.0000 0.2549 0.0000  4 As 2.45-2.52
8 Ir 0.0000 0.7451 0.7451  4 As 2.45-2.52
9 Ir 0.0000 0.0000 0.2549  4 As 2.45-2.52